The following is a DFT calculation (PBE) of a relaxed structure of BeZnTe2.

As for the uncorrected formation energy: -0.27 eV per atom. The calculation puts the electronic total energy at -49.49 eV for the cell shown. The energy above the most stable polymorph in this dataset is 135 meV per atom.

a b c (Å): 6.8675 4.1093 17.0853
angles (deg): 90.00 90.00 90.00
Space group Pnma (No. 62)
One atom of each set of equivalent atoms:
Be1 0.0354 0.2500 0.1411 x4
Zn1 0.1005 0.7500 0.3290 x4
Te1 0.2007 0.7500 0.1746 x4
Te2 0.2212 0.2500 0.4107 x4